Model a:
Below is a relaxed BeSiNi crystal, with properties calculated at the GGA-PBE level.

a b c (Å): 7.3331 3.5287 5.3933
angles (deg): 90.00 90.00 90.00
Positions (direct):
Be  0.1260  0.2500  0.2257
Be  0.3740  0.7500  0.7257
Be  0.6260  0.2500  0.2743
Be  0.8740  0.7500  0.7743
Si  0.1218  0.2500  0.7851
Si  0.3782  0.7500  0.2851
Si  0.6218  0.2500  0.7149
Si  0.8782  0.7500  0.2149
Ni  0.1179  0.7500  0.5052
Ni  0.3821  0.2500  0.0052
Ni  0.6179  0.7500  0.9948
Ni  0.8821  0.2500  0.4948

Fermi-level density of states	0.44	states/eV per atom
volume	11.6	Å³/atom
magnetization	0.000	Bohr magnetons per cell

---

Model b:
Below is a relaxed BeSiNi crystal, with properties calculated at the GGA-PBE level.

a b c (Å): 4.1097 4.1097 4.1097
angles (deg): 141.43 133.41 62.03
Positions (direct):
Be  0.0000  0.0000  0.0000
Si  0.3283  0.3283  0.0000
Ni  0.6624  0.6624  0.0000

Fermi-level density of states	0.23	states/eV per atom
volume	10.4	Å³/atom
magnetization	0.000	Bohr magnetons per cell

---

Stability, highest: model b